The following is a PBE-GGA calculation of a relaxed structure of NaGaHg2Cl4, from Alexandria.

Values from the calculation:
uncorrected formation energy: -0.992 eV/atom
VASP energy: -2.534 eV per atom
total magnetization: 0.00 μB/cell

a = 6.873 Å, b = 8.490 Å, c = 6.977 Å
α = 119.69°, β = 122.74°, γ = 94.10°
Fractional coordinates of all 8 atoms:
Na 0.869 0.418 0.835
Ga 0.718 0.744 0.455
Hg 0.652 0.113 0.148
Hg 0.268 0.130 0.501
Cl 0.623 0.617 0.622
Cl 0.961 0.631 0.366
Cl 0.349 0.653 0.048
Cl 0.947 0.081 0.800